Density functional theory data (GGA-PBEsol) for Na3TbTi2Nb2O12 after structural relaxation.

a b c (Å): 5.3920 5.5218 7.7080
angles (deg): 89.99 89.95 89.32
Closest atoms and distances in Å follow each position.
Atoms (fractional coordinates):
Na  0.0000  0.0000  0.0000  4 O 2.31-2.53
Na  0.0136  0.9337  0.5018  8 O 2.37-2.66
Na  0.4978  0.4761  0.0032  3 O 2.34-2.35
Tb  0.4944  0.4088  0.5019  8 O 2.30-2.47
Ti  0.5078  0.9517  0.7474  4 O 1.85-1.97
Ti  0.9933  0.4577  0.2577  5 O 1.86-2.03
Nb  0.5077  0.9516  0.2418  5 O 1.89-2.11
Nb  0.9968  0.4670  0.7611  6 O 1.92-2.12
O  0.0656  0.4528  0.0056  1 Nb 1.92, 1 Ti 1.98
O  0.2203  0.2032  0.3034  1 Ti 1.89
O  0.2241  0.2009  0.6989  1 Nb 1.96, 1 Ti 2.08
O  0.3055  0.6767  0.3014  1 Nb 1.93, 1 Ti 2.11
O  0.3085  0.6815  0.7017  1 Ti 1.88
O  0.4279  0.9689  0.9971  1 Nb 1.94, 1 Ti 1.97
O  0.5779  0.9991  0.5035  1 Ti 1.94, 1 Nb 2.07
O  0.6996  0.2780  0.7720  1 Nb 1.92, 1 Ti 2.10
O  0.7043  0.2790  0.2321  1 Ti 1.86
O  0.7998  0.7799  0.7875  1 Ti 1.85, 1 Nb 2.03
O  0.8063  0.7720  0.2123  1 Nb 1.89, 1 Ti 2.03
O  0.9089  0.5047  0.4987  1 Ti 1.93, 1 Nb 2.09

Summary:
As for the uncorrected formation energy: -63.33 kcal/mol of atoms. The calculation puts the calculated density at 5.1 g/cm³. The calculation puts the volume at 11.5 Å³/atom. Its space group is P1, No. 1. For the final energy, the calculation gives -8.271 eV per atom.